Compound: ZrTeOs2
Source: Alexandria
Functional: PBE
Structure: relaxed

Cell: 4.694 4.694 3.273 Å, 90.00 90.00 97.68°
Sites, in units of the cell vectors:
Zr (0.000, 0.000, 0.000)
Te (0.500, 0.500, 0.000)
Os (0.000, 0.500, 0.500)
Os (0.500, 0.000, 0.500)

Output
DFT total energy: -8.304 eV/atom
Formation energy without anion corrections: 0.2332 eV per atom
Spin magnetization: 0.00 μB per formula unit